The following is a meta-GGA SCAN calculation of a crystal of TmAgTe2 relaxed with PBEsol, from the Alexandria database.

```
TmAgTe2
1.0
4.647 0.000 0.000
0.000 6.866 0.000
0.000 0.000 6.866
Tm Te Ag
2 4 2
Direct
0.820 0.500 0.000 Tm
0.180 0.000 0.500 Tm
0.301 0.702 0.798 Te
0.699 0.798 0.298 Te
0.699 0.202 0.702 Te
0.301 0.298 0.202 Te
0.000 0.000 0.000 Ag
0.000 0.500 0.500 Ag
```

Values from the calculation:
The total magnetic moment comes out at 0.0000 μB/atom. Its formation energy without anion corrections is -0.9659 eV/atom. For the total energy, the calculation gives -40.391 eV per atom. Its space group is P-42_1m, No. 113.